[1]
VASP calculation (PBE-GGA) on a geometry-optimized Mg2NiMo structure.

The value obtained for the size of the total moment is 0.0 μB/f.u. The calculation puts the density of states at the Fermi level at 3.3 states/eV/f.u. For the total energy, the calculation gives -4.7287 eV/atom. Its offset from the most stable computed form is 159 meV/atom.

The space group is Pm (No. 6) and the conventional cell measures 2.7712, 4.1201 and 5.7535 Å, with angles of 90.00, 100.85 and 90.00 degrees. The inequivalent atoms are Mg at (0.0000, 0.0000, 0.0000), Mg at (0.4182, 0.5000, 0.7250), Ni at (0.0140, 0.0000, 0.4602) and Mo at (0.5677, 0.5000, 0.2668).

---

[2]
VASP calculation (PBE-GGA) on a geometry-optimized ZrTiAgPb structure.

The value obtained for the size of the total moment is 0.6 μB/f.u. The calculation puts the density of states at the Fermi level at 4.3 states/eV/f.u. For the total energy, the calculation gives -5.7035 eV/atom.

The space group is F-43m (No. 216) and the conventional cell measures 6.9091, 6.9091 and 6.9091 Å, with angles of 90.00, 90.00 and 90.00 degrees. The inequivalent atoms are Zr at (0.0000, 0.0000, 0.0000), Ti at (0.0000, 0.0000, 0.5000), Ag at (0.2500, 0.2500, 0.7500) and Pb at (0.2500, 0.2500, 0.2500).

---

[3]
VASP calculation (PBE-GGA) on a geometry-optimized BaINO2 structure.

For the formation energy (no corrections), the calculation gives 703 meV per atom. The value obtained for the size of the total moment is 2.1 μB/f.u. The calculation puts the density of states at the Fermi level at 4.4 states/eV/f.u. For the total energy, the calculation gives -3.6404 eV/atom.

The space group is P4/mmm (No. 123) and the conventional cell measures 4.5122, 4.5122 and 7.7521 Å, with angles of 90.00, 90.00 and 90.00 degrees. The inequivalent atoms are Ba at (0.0000, 0.0000, 0.0000), I at (0.0000, 0.0000, 0.5000), N at (0.5000, 0.5000, 0.5000) and O at (0.0000, 0.5000, 0.0000).

---

[4]
VASP calculation (PBE-GGA) on a geometry-optimized TaInSb2Se structure.

For the formation energy (no corrections), the calculation gives 136 meV per atom. The value obtained for the size of the total moment is 0.0 μB/f.u. The calculation puts the density of states at the Fermi level at 4.0 states/eV/f.u. For the total energy, the calculation gives -5.1284 eV/atom.

The space group is P4/mmm (No. 123) and the conventional cell measures 5.4740, 5.4740 and 4.9648 Å, with angles of 90.00, 90.00 and 90.00 degrees. The inequivalent atoms are Ta at (0.0000, 0.0000, 0.0000), In at (0.5000, 0.5000, 0.5000), Sb at (0.0000, 0.5000, 0.0000) and Se at (0.0000, 0.0000, 0.5000).

---

[5]
VASP calculation (PBE-GGA) on a geometry-optimized PrNpAlO6 structure.

For the formation energy (no corrections), the calculation gives -2997 meV per atom. The value obtained for the size of the total moment is 1.0 μB/f.u. For the total energy, the calculation gives -8.6868 eV/atom.

The space group is P-31c (No. 163) and the conventional cell measures 5.2851, 5.2851 and 10.3571 Å, with angles of 90.00, 90.00 and 120.00 degrees. The inequivalent atoms are Pr at (0.0000, 0.0000, 0.0000), Np at (0.3333, 0.6667, 0.2500), Al at (0.3333, 0.6667, 0.7500) and O at (0.0188, 0.3724, 0.6447).

---

[6]
VASP calculation (PBE-GGA) on a geometry-optimized TaFeP2 structure.

The value obtained for the size of the total moment is 1.2 μB/f.u. The calculation puts the density of states at the Fermi level at 2.6 states/eV/f.u. For the total energy, the calculation gives -8.0353 eV/atom. Its offset from the most stable computed form is 270 meV/atom.

The space group is Pm (No. 6) and the conventional cell measures 2.9236, 4.2928 and 4.6887 Å, with angles of 90.00, 107.75 and 90.00 degrees. The inequivalent atoms are Ta at (0.0000, 0.0000, 0.0000), Fe at (0.6545, 0.5000, 0.3251), P at (0.3891, 0.5000, 0.7943) and P at (0.7195, 0.0000, 0.4503).

---

[7]
VASP calculation (PBE-GGA) on a geometry-optimized SrFe2Ni structure.

The value obtained for the size of the total moment is 5.6 μB/f.u. The calculation puts the density of states at the Fermi level at 6.4 states/eV/f.u. For the total energy, the calculation gives -5.8462 eV/atom.

The space group is R-3m (No. 166, hexagonal axes) and the conventional cell measures 4.1000, 4.1000 and 16.2702 Å, with angles of 90.00, 90.00 and 120.00 degrees. The inequivalent atoms are Sr at (0.0000, 0.0000, 0.0000), Fe at (0.0000, 0.0000, 0.1927) and Ni at (0.0000, 0.0000, 0.5000).

---

[8]
VASP calculation (PBE-GGA) on a geometry-optimized AlVRu3 structure.

The value obtained for the size of the total moment is 0.0 μB/f.u. The calculation puts the density of states at the Fermi level at 5.9 states/eV/f.u. For the total energy, the calculation gives -7.1955 eV/atom. Its offset from the most stable computed form is 0 meV/atom.

The space group is Pm-3m (No. 221) and the conventional cell measures 4.4304, 4.4304 and 4.4304 Å, with angles of 90.00, 90.00 and 90.00 degrees. The inequivalent atoms are Al at (0.0000, 0.0000, 0.0000), V at (0.5000, 0.5000, 0.5000) and Ru at (0.0000, 0.5000, 0.5000).

---

Please write out number 2 again, unchanged.
VASP calculation (PBE-GGA) on a geometry-optimized ZrTiAgPb structure.

The value obtained for the size of the total moment is 0.6 μB/f.u. The calculation puts the density of states at the Fermi level at 4.3 states/eV/f.u. For the total energy, the calculation gives -5.7035 eV/atom.

The space group is F-43m (No. 216) and the conventional cell measures 6.9091, 6.9091 and 6.9091 Å, with angles of 90.00, 90.00 and 90.00 degrees. The inequivalent atoms are Zr at (0.0000, 0.0000, 0.0000), Ti at (0.0000, 0.0000, 0.5000), Ag at (0.2500, 0.2500, 0.7500) and Pb at (0.2500, 0.2500, 0.2500).